# 1
Here is a geometry-optimized MnRe2Pt structure from Alexandria via LeMat-Bulk. Energies are from PBE.

Values from the calculation:
E above lowest polymorph: 57.7 meV per atom
DFT total energy: -40.09 eV/f.u.

CIF file:
```
data_MnRe2Pt
_cell_length_a 4.1953
_cell_length_b 2.6770
_cell_length_c 10.2213
_cell_angle_alpha 90.00
_cell_angle_beta 90.00
_cell_angle_gamma 90.00
_space_group_name_H-M_alt 'A m m 2'
_space_group_IT_number 38
_space_group_name_Hall 'A 2 -2'
loop_
_atom_site_label
_atom_site_type_symbol
_atom_site_fract_x
_atom_site_fract_y
_atom_site_fract_z
Mn1 Mn 0.0000 0.0000 0.0000
Re1 Re 0.0000 0.0000 0.7577
Re2 Re 0.5000 0.0000 0.3967
Pt1 Pt 0.5000 0.0000 0.1342
```

---

# 2
Here is a geometry-optimized MnRe2Pt structure from Alexandria via LeMat-Bulk. Energies are from PBE.

Values from the calculation:
E above lowest polymorph: 37.3 meV per atom
DFT total energy: -40.17 eV/f.u.

CIF file:
```
data_MnRe2Pt
_cell_length_a 3.7951
_cell_length_b 3.7951
_cell_length_c 7.8841
_cell_angle_alpha 90.00
_cell_angle_beta 90.00
_cell_angle_gamma 90.00
_space_group_name_H-M_alt 'I 4/m m m'
_space_group_IT_number 139
_space_group_name_Hall '-I 4 2'
loop_
_atom_site_label
_atom_site_type_symbol
_atom_site_fract_x
_atom_site_fract_y
_atom_site_fract_z
Mn1 Mn 0.0000 0.0000 0.0000
Re1 Re 0.0000 0.5000 0.2500
Pt1 Pt 0.0000 0.0000 0.5000
```

---

# 3
Here is a geometry-optimized MnRe2Pt structure from Alexandria via LeMat-Bulk. Energies are from PBE.

Values from the calculation:
E above lowest polymorph: 46.4 meV per atom
DFT total energy: -40.14 eV/f.u.

CIF file:
```
data_MnRe2Pt
_cell_length_a 9.0543
_cell_length_b 2.6954
_cell_length_c 4.7981
_cell_angle_alpha 90.00
_cell_angle_beta 99.17
_cell_angle_gamma 90.00
_space_group_name_H-M_alt 'C 1 m 1'
_space_group_IT_number 8
_space_group_name_Hall 'C -2y'
loop_
_atom_site_label
_atom_site_type_symbol
_atom_site_fract_x
_atom_site_fract_y
_atom_site_fract_z
Mn1 Mn 0.0000 0.0000 0.0000
Re1 Re 0.2420 0.5000 0.2486
Re2 Re 0.4966 0.0000 0.4925
Pt1 Pt 0.2456 0.0000 0.7568
```

---

# 4
Here is a geometry-optimized MnRePt structure from Alexandria via LeMat-Bulk. Energies are from PBE.

Values from the calculation:
E above lowest polymorph: 21.1 meV per atom
DFT total energy: -27.78 eV/f.u.

CIF file:
```
data_MnRePt
_cell_length_a 2.7134
_cell_length_b 2.7134
_cell_length_c 11.3289
_cell_angle_alpha 90.00
_cell_angle_beta 90.00
_cell_angle_gamma 90.00
_space_group_name_H-M_alt 'I 4 m m'
_space_group_IT_number 107
_space_group_name_Hall 'I 4 -2'
loop_
_atom_site_label
_atom_site_type_symbol
_atom_site_fract_x
_atom_site_fract_y
_atom_site_fract_z
Mn1 Mn 0.0000 0.0000 0.0000
Re1 Re 0.0000 0.0000 0.3521
Pt1 Pt 0.0000 0.0000 0.6700
```

---

# 5
Here is a geometry-optimized MnRe2Pt structure from Alexandria via LeMat-Bulk. Energies are from PBE.

Values from the calculation:
E above lowest polymorph: 84.8 meV per atom
DFT total energy: -39.98 eV/f.u.

CIF file:
```
data_MnRe2Pt
_cell_length_a 5.3799
_cell_length_b 7.9095
_cell_length_c 2.6876
_cell_angle_alpha 90.00
_cell_angle_beta 90.00
_cell_angle_gamma 90.00
_space_group_name_H-M_alt 'C m m m'
_space_group_IT_number 65
_space_group_name_Hall '-C 2 2'
loop_
_atom_site_label
_atom_site_type_symbol
_atom_site_fract_x
_atom_site_fract_y
_atom_site_fract_z
Mn1 Mn 0.0000 0.0000 0.0000
Re1 Re 0.2500 0.2500 0.5000
Pt1 Pt 0.0000 0.5000 0.0000
```

---

# 6
Here is a geometry-optimized MnRePt2 structure from Alexandria via LeMat-Bulk. Energies are from PBE.

Values from the calculation:
E above lowest polymorph: 100.9 meV per atom
DFT total energy: -34.00 eV/f.u.

CIF file:
```
data_MnRePt2
_cell_length_a 3.8514
_cell_length_b 3.8514
_cell_length_c 3.9627
_cell_angle_alpha 90.00
_cell_angle_beta 90.00
_cell_angle_gamma 90.00
_space_group_name_H-M_alt 'P 4/m m m'
_space_group_IT_number 123
_space_group_name_Hall '-P 4 2'
loop_
_atom_site_label
_atom_site_type_symbol
_atom_site_fract_x
_atom_site_fract_y
_atom_site_fract_z
Mn1 Mn 0.0000 0.0000 0.0000
Re1 Re 0.5000 0.5000 0.0000
Pt1 Pt 0.0000 0.5000 0.5000
```

---

# 7
Here is a geometry-optimized Mn2RePt structure from Alexandria via LeMat-Bulk. Energies are from PBE.

Values from the calculation:
DFT total energy: -37.01 eV/f.u.

CIF file:
```
data_Mn2RePt
_cell_length_a 3.7436
_cell_length_b 3.7436
_cell_length_c 7.8347
_cell_angle_alpha 90.00
_cell_angle_beta 90.00
_cell_angle_gamma 90.00
_space_group_name_H-M_alt 'I -4 m 2'
_space_group_IT_number 119
_space_group_name_Hall 'I -4 -2'
loop_
_atom_site_label
_atom_site_type_symbol
_atom_site_fract_x
_atom_site_fract_y
_atom_site_fract_z
Mn1 Mn 0.0000 0.0000 0.0000
Mn2 Mn 0.0000 0.5000 0.2500
Re1 Re 0.0000 0.5000 0.7500
Pt1 Pt 0.0000 0.0000 0.5000
```

---

# 8
Here is a geometry-optimized Mn2RePt structure from Alexandria via LeMat-Bulk. Energies are from PBE.

Values from the calculation:
DFT total energy: -36.78 eV/f.u.

CIF file:
```
data_Mn2RePt
_cell_length_a 8.6755
_cell_length_b 2.7161
_cell_length_c 4.8787
_cell_angle_alpha 90.00
_cell_angle_beta 99.06
_cell_angle_gamma 90.00
_space_group_name_H-M_alt 'C 1 2/m 1'
_space_group_IT_number 12
_space_group_name_Hall '-C 2y'
loop_
_atom_site_label
_atom_site_type_symbol
_atom_site_fract_x
_atom_site_fract_y
_atom_site_fract_z
Mn1 Mn 0.2502 0.0000 0.2396
Re1 Re 0.0000 0.5000 0.0000
Pt1 Pt 0.0000 0.0000 0.5000
```

---

no.,formation energy from the elements (meV per atom)
1,4
2,-17
3,-8
4,-39
5,31
6,-76
7,-45
8,12